(P)
## La2Tb2Dy3 (GGA-PBE)

Data for a relaxed La2Tb2Dy3 crystal.

extended XYZ file:
```
7
Lattice="-2.609 1.704 -1.657 -4.734 -7.214 0.032 0.645 4.786 7.664" Properties=species:S:1:pos:R:3 pbc="T T T"
Dy -2.637 2.649 3.117
Dy -2.367 -3.607 0.016
La -5.724 -4.994 0.116
Dy -4.060 -3.373 2.922
Tb -1.811 -0.733 2.097
La -0.973 4.270 5.922
Tb -4.886 0.009 3.942
```



(Q)
## La2Tb2Dy3 (GGA-PBE)

Data for a relaxed La2Tb2Dy3 crystal.

extended XYZ file:
```
7
Lattice="3.588 -0.117 0.449 0.406 10.821 -0.377 1.038 -0.401 6.109" Properties=species:S:1:pos:R:3 pbc="T T T"
La 3.215 1.261 3.758
Dy 1.430 4.361 4.271
La 1.816 9.042 2.423
Dy 0.000 0.000 0.000
Tb 1.802 3.028 0.942
Dy 3.602 5.941 1.909
Tb 3.229 7.275 5.238
```



Which one sits at the bottom of the stability order? (P) does.



(P)
## LaTbDy5 (GGA-PBE)

Data for a relaxed LaTbDy5 crystal.

extended XYZ file:
```
7
Lattice="5.787 0.000 0.000 2.894 7.315 0.480 2.894 1.781 7.111" Properties=species:S:1:pos:R:3 pbc="T T T"
Dy 5.787 6.320 1.672
Dy 5.787 6.797 5.673
Tb 5.787 4.548 3.796
Dy 5.787 2.298 1.918
Dy 5.787 2.775 5.919
Dy 2.894 4.548 3.796
La 0.000 0.000 0.000
```



(Q)
## LaTbDy5 (GGA-PBE)

Data for a relaxed LaTbDy5 crystal.

extended XYZ file:
```
14
Lattice="-1.945 -4.868 -4.332 2.178 -6.378 0.908 -8.980 -9.428 4.350" Properties=species:S:1:pos:R:3 pbc="T T T"
Dy -6.077 -15.338 1.401
Dy -2.548 -10.273 -1.994
Tb 0.000 0.000 0.000
Dy -6.199 -10.401 2.920
La -7.538 -12.357 0.383
Tb -4.490 -4.714 2.175
Dy -2.670 -5.336 -0.475
Dy 0.041 -7.489 -2.433
Dy -3.538 -7.464 -2.415
Dy -8.788 -13.185 3.359
Dy -4.523 -8.388 0.898
La -1.210 -8.317 0.544
Dy -4.224 -12.286 0.028
Dy -5.209 -13.210 3.341
```



Which one sits at the bottom of the stability order? (P) does.